HgTeP2 | PBEsol | optimized geometry

Unit cell a=3.181 b=4.104 c=13.567 alpha=90.00 beta=90.00 gamma=90.00
Positions (direct):
Hg1 0.000 0.000 0.000
Hg2 0.500 0.500 0.500
Te1 0.000 0.500 0.154
Te2 0.500 0.000 0.654
P1 0.000 0.000 0.393
P2 0.000 0.500 0.784
P3 0.500 0.000 0.284
P4 0.500 0.500 0.893

total magnetization	0.00	μB per cell
relative energy among the computed polymorphs	0.109	eV/atom
E_form (uncorrected)	0.238	eV per atom
D(E_F)	0.40	states/eV/atom

HgTeP | PBEsol | optimized geometry

Unit cell a=3.740 b=3.740 c=11.708 alpha=90.00 beta=90.00 gamma=90.00
Positions (direct):
Hg1 0.000 0.000 0.000
Hg2 0.500 0.500 0.500
Te1 0.000 0.000 0.277
Te2 0.500 0.500 0.777
P1 0.000 0.000 0.483
P2 0.500 0.500 0.983

total magnetization	0.00	μB per cell
relative energy among the computed polymorphs	0.000	eV/atom
E_form (uncorrected)	0.239	eV per atom
D(E_F)	0.38	states/eV/atom

HgTeP | PBEsol | optimized geometry

Unit cell a=3.478 b=3.478 c=12.308 alpha=90.00 beta=90.00 gamma=90.00
Positions (direct):
Hg1 0.000 0.000 0.000
Hg2 0.500 0.500 0.500
Te1 0.000 0.000 0.284
Te2 0.500 0.500 0.784
P1 0.000 0.000 0.693
P2 0.500 0.500 0.193

total magnetization	0.00	μB per cell
relative energy among the computed polymorphs	0.072	eV/atom
E_form (uncorrected)	0.311	eV per atom
D(E_F)	0.22	states/eV/atom

Hg2TeP | PBEsol | optimized geometry

Unit cell a=6.169 b=6.169 c=12.033 alpha=90.00 beta=90.00 gamma=90.00
Positions (direct):
Hg1 0.198 0.250 0.125
Hg2 0.250 0.698 0.375
Hg3 0.250 0.802 0.875
Hg4 0.302 0.250 0.625
Hg5 0.698 0.750 0.625
Hg6 0.750 0.198 0.875
Hg7 0.750 0.302 0.375
Hg8 0.802 0.750 0.125
Te1 0.000 0.000 0.500
Te2 0.000 0.500 0.750
Te3 0.500 0.000 0.250
Te4 0.500 0.500 0.000
P1 0.000 0.000 0.000
P2 0.000 0.500 0.250
P3 0.500 0.000 0.750
P4 0.500 0.500 0.500

total magnetization	0.00	μB per cell
E_form (uncorrected)	0.124	eV per atom
D(E_F)	0.58	states/eV/atom

Hg3TeP | PBEsol | optimized geometry

Unit cell a=5.519 b=5.519 c=5.519 alpha=90.00 beta=90.00 gamma=90.00
Positions (direct):
Hg1 0.000 0.000 0.500
Hg2 0.000 0.500 0.000
Hg3 0.500 0.000 0.000
Te1 0.000 0.000 0.000
P1 0.500 0.500 0.500

total magnetization	1.71	μB per cell
E_form (uncorrected)	0.882	eV per atom
D(E_F)	0.69	states/eV/atom

TiHg3P | PBEsol | optimized geometry

Unit cell a=5.185 b=5.185 c=5.185 alpha=90.00 beta=90.00 gamma=90.00
Positions (direct):
Ti1 0.000 0.000 0.000
Hg1 0.000 0.000 0.500
Hg2 0.000 0.500 0.000
Hg3 0.500 0.000 0.000
P1 0.500 0.500 0.500

calculated formation energy	1.014	eV per atom
total magnetization	0.67	μB per cell
D(E_F)	0.59	states/eV/atom

TlHgP2 | PBEsol | optimized geometry

Unit cell a=5.880 b=5.880 c=11.792 alpha=90.00 beta=90.00 gamma=90.00
Positions (direct):
Tl1 0.000 0.000 0.000
Tl2 0.000 0.500 0.250
Tl3 0.500 0.000 0.750
Tl4 0.500 0.500 0.500
Hg1 0.000 0.000 0.500
Hg2 0.000 0.500 0.750
Hg3 0.500 0.000 0.250
Hg4 0.500 0.500 0.000
P1 0.238 0.250 0.625
P2 0.250 0.738 0.875
P3 0.250 0.762 0.375
P4 0.262 0.250 0.125
P5 0.738 0.750 0.125
P6 0.750 0.238 0.375
P7 0.750 0.262 0.875
P8 0.762 0.750 0.625

calculated formation energy	0.322	eV per atom
total magnetization	0.00	μB per cell
relative energy among the computed polymorphs	0.299	eV/atom
D(E_F)	0.54	states/eV/atom

TlHgP | PBEsol | optimized geometry

Unit cell a=6.720 b=6.720 c=6.720 alpha=90.00 beta=90.00 gamma=90.00
Positions (direct):
Tl1 0.000 0.000 0.000
Tl2 0.000 0.500 0.500
Tl3 0.500 0.000 0.500
Tl4 0.500 0.500 0.000
Hg1 0.250 0.250 0.250
Hg2 0.250 0.750 0.750
Hg3 0.750 0.250 0.750
Hg4 0.750 0.750 0.250
P1 0.250 0.250 0.750
P2 0.250 0.750 0.250
P3 0.750 0.250 0.250
P4 0.750 0.750 0.750

calculated formation energy	0.508	eV per atom
total magnetization	0.00	μB per cell
D(E_F)	0.29	states/eV/atom